1.
{
  "formula": "Cs2GaPI6",
  "functional": "PBE",
  "state": "relaxed",
  "lattice_angstrom": [[-4.196, 4.196, 5.920], [4.196, -4.196, 5.920], [4.196, 4.196, -5.920]],
  "species": ["Cs", "Cs", "Ga", "P", "I", "I", "I", "I", "I", "I"],
  "frac_coords": [[0.250, 0.750, 0.500], [0.750, 0.250, 0.500], [0.000, 0.000, 0.000], [0.500, 0.500, 0.000], [0.261, 0.261, 0.000], [0.262, 0.262, 0.524], [0.262, 0.738, 0.000], [0.738, 0.262, 0.000], [0.738, 0.738, 0.476], [0.739, 0.739, 0.000]],
  "total_energy_ev_per_fu": -26.6,
  "space_group": "I4/mmm, No. 139"
}

***

2.
{
  "formula": "Sm4ZnHg7",
  "functional": "PBE",
  "state": "relaxed",
  "lattice_angstrom": [[7.620, -2.640, 0.000], [7.620, 2.640, 0.000], [-5.116, 0.000, 7.880]],
  "species": ["Sm", "Sm", "Sm", "Sm", "Zn", "Hg", "Hg", "Hg", "Hg", "Hg", "Hg", "Hg"],
  "frac_coords": [[0.068, 0.068, 0.247], [0.239, 0.239, 0.760], [0.761, 0.761, 0.240], [0.932, 0.932, 0.753], [0.500, 0.500, 0.500], [0.000, 0.000, 0.500], [0.180, 0.180, 0.041], [0.314, 0.314, 0.495], [0.433, 0.433, 0.144], [0.567, 0.567, 0.856], [0.686, 0.686, 0.505], [0.820, 0.820, 0.959]],
  "formation_enthalpy_0k_ev_per_atom": -0.30,
  "space_group": "C2/m, No. 12"
}